[1]
DFT (GGA-PBE) results for crystalline Be2CrSb at its relaxed geometry.

```
data_Be2CrSb
_chemical_formula_sum 'Be2 Cr1 Sb1'
_symmetry_space_group_name_H-M 'P m m m'
_symmetry_Int_Tables_number 47
_symmetry_space_group_name_Hall '-P 2 2'
_cell_length_a 2.924
_cell_length_b 3.680
_cell_length_c 5.245
_cell_angle_alpha 90.00
_cell_angle_beta 90.00
_cell_angle_gamma 90.00
loop_
_atom_site_label
_atom_site_type_symbol
_atom_site_fract_x
_atom_site_fract_y
_atom_site_fract_z
Be1 Be 0.000 0.000 0.189
Cr1 Cr 0.500 0.500 0.000
Sb1 Sb 0.000 0.500 0.500
```

Values from the calculation:
Spin magnetization: 0.588 μB per atom
VASP energy: -4.902 eV/atom

---

[2]
DFT (GGA-PBE) results for crystalline BeCr2Sb2 at its relaxed geometry.

```
data_BeCr2Sb2
_chemical_formula_sum 'Be2 Cr4 Sb4'
_symmetry_space_group_name_H-M 'P 4/m b m'
_symmetry_Int_Tables_number 127
_symmetry_space_group_name_Hall '-P 4 2ab'
_cell_length_a 7.092
_cell_length_b 7.092
_cell_length_c 3.717
_cell_angle_alpha 90.00
_cell_angle_beta 90.00
_cell_angle_gamma 90.00
loop_
_atom_site_label
_atom_site_type_symbol
_atom_site_fract_x
_atom_site_fract_y
_atom_site_fract_z
Be1 Be 0.000 0.000 0.000
Cr1 Cr 0.142 0.358 0.500
Sb1 Sb 0.163 0.663 0.000
```

Values from the calculation:
Offset from the most stable computed form: 0 meV/atom
Spin magnetization: 1.204 μB per atom

---

[3]
DFT (GGA-PBE) results for crystalline BeCr2Sb2 at its relaxed geometry.

```
data_BeCr2Sb2
_chemical_formula_sum 'Be2 Cr4 Sb4'
_symmetry_space_group_name_H-M 'I 4/m m m'
_symmetry_Int_Tables_number 139
_symmetry_space_group_name_Hall '-I 4 2'
_cell_length_a 3.352
_cell_length_b 3.352
_cell_length_c 15.843
_cell_angle_alpha 90.00
_cell_angle_beta 90.00
_cell_angle_gamma 90.00
loop_
_atom_site_label
_atom_site_type_symbol
_atom_site_fract_x
_atom_site_fract_y
_atom_site_fract_z
Be1 Be 0.000 0.000 0.000
Cr1 Cr 0.000 0.500 0.250
Sb1 Sb 0.000 0.000 0.388
```

Values from the calculation:
Offset from the most stable computed form: 44 meV/atom
Spin magnetization: 0.000 μB per atom

---

[4]
DFT (GGA-PBE) results for crystalline Be3CrSb at its relaxed geometry.

```
data_Be3CrSb
_chemical_formula_sum 'Be3 Cr1 Sb1'
_symmetry_space_group_name_H-M 'P m -3 m'
_symmetry_Int_Tables_number 221
_symmetry_space_group_name_Hall '-P 4 2 3'
_cell_length_a 4.220
_cell_length_b 4.220
_cell_length_c 4.220
_cell_angle_alpha 90.00
_cell_angle_beta 90.00
_cell_angle_gamma 90.00
loop_
_atom_site_label
_atom_site_type_symbol
_atom_site_fract_x
_atom_site_fract_y
_atom_site_fract_z
Be1 Be 0.000 0.000 0.500
Cr1 Cr 0.000 0.000 0.000
Sb1 Sb 0.500 0.500 0.500
```

Values from the calculation:
Offset from the most stable computed form: 0 meV/atom
Spin magnetization: 0.000 μB per atom

---

[5]
DFT (GGA-PBE) results for crystalline BeCr2Sb at its relaxed geometry.

```
data_BeCr2Sb
_chemical_formula_sum 'Be2 Cr4 Sb2'
_symmetry_space_group_name_H-M 'I -4 m 2'
_symmetry_Int_Tables_number 119
_symmetry_space_group_name_Hall 'I -4 -2'
_cell_length_a 3.815
_cell_length_b 3.815
_cell_length_c 7.702
_cell_angle_alpha 90.00
_cell_angle_beta 90.00
_cell_angle_gamma 90.00
loop_
_atom_site_label
_atom_site_type_symbol
_atom_site_fract_x
_atom_site_fract_y
_atom_site_fract_z
Be1 Be 0.000 0.000 0.000
Cr1 Cr 0.000 0.000 0.500
Cr2 Cr 0.000 0.500 0.750
Sb1 Sb 0.000 0.500 0.250
```

Values from the calculation:
Offset from the most stable computed form: 60 meV/atom
Spin magnetization: 0.070 μB per atom

---

[6]
DFT (GGA-PBE) results for crystalline BeCr4Sb at its relaxed geometry.

```
data_BeCr4Sb
_chemical_formula_sum 'Be4 Cr16 Sb4'
_symmetry_space_group_name_H-M 'F -4 3 m'
_symmetry_Int_Tables_number 216
_symmetry_space_group_name_Hall 'F -4 2 3'
_cell_length_a 6.820
_cell_length_b 6.820
_cell_length_c 6.820
_cell_angle_alpha 90.00
_cell_angle_beta 90.00
_cell_angle_gamma 90.00
loop_
_atom_site_label
_atom_site_type_symbol
_atom_site_fract_x
_atom_site_fract_y
_atom_site_fract_z
Be1 Be 0.000 0.000 0.000
Cr1 Cr 0.127 0.127 0.627
Sb1 Sb 0.250 0.250 0.250
```

Values from the calculation:
Spin magnetization: 0.000 μB per atom
VASP energy: -7.294 eV/atom

---

[7]
DFT (GGA-PBE) results for crystalline BeCr2Sb at its relaxed geometry.

```
data_BeCr2Sb
_chemical_formula_sum 'Be1 Cr2 Sb1'
_symmetry_space_group_name_H-M 'P 4/m m m'
_symmetry_Int_Tables_number 123
_symmetry_space_group_name_Hall '-P 4 2'
_cell_length_a 3.170
_cell_length_b 3.170
_cell_length_c 5.609
_cell_angle_alpha 90.00
_cell_angle_beta 90.00
_cell_angle_gamma 90.00
loop_
_atom_site_label
_atom_site_type_symbol
_atom_site_fract_x
_atom_site_fract_y
_atom_site_fract_z
Be1 Be 0.000 0.000 0.000
Cr1 Cr 0.500 0.500 0.232
Sb1 Sb 0.000 0.000 0.500
```

Values from the calculation:
Offset from the most stable computed form: 216 meV/atom
Spin magnetization: 1.076 μB per atom

---

[8]
DFT (GGA-PBE) results for crystalline Be2CrSb at its relaxed geometry.

```
data_Be2CrSb
_chemical_formula_sum 'Be6 Cr3 Sb3'
_symmetry_space_group_name_H-M 'R -3 m'
_symmetry_Int_Tables_number 166
_symmetry_space_group_name_Hall '-R 3 2"'
_cell_length_a 3.0949
_cell_length_b 3.0949
_cell_length_c 22.6887
_cell_angle_alpha 90.00
_cell_angle_beta 90.00
_cell_angle_gamma 120.00
loop_
_atom_site_label
_atom_site_type_symbol
_atom_site_fract_x
_atom_site_fract_y
_atom_site_fract_z
Be1 Be 0.0000 0.0000 0.2433
Cr1 Cr 0.0000 0.0000 0.5000
Sb1 Sb 0.0000 0.0000 0.0000
```

Values from the calculation:
Spin magnetization: 0.798 μB per atom
VASP energy: -4.505 eV/atom

---

[9]
DFT (GGA-PBE) results for crystalline Be2CrSb at its relaxed geometry.

```
data_Be2CrSb
_chemical_formula_sum 'Be2 Cr1 Sb1'
_symmetry_space_group_name_H-M 'P 4/m m m'
_symmetry_Int_Tables_number 123
_symmetry_space_group_name_Hall '-P 4 2'
_cell_length_a 3.815
_cell_length_b 3.815
_cell_length_c 3.641
_cell_angle_alpha 90.00
_cell_angle_beta 90.00
_cell_angle_gamma 90.00
loop_
_atom_site_label
_atom_site_type_symbol
_atom_site_fract_x
_atom_site_fract_y
_atom_site_fract_z
Be1 Be 0.000 0.500 0.000
Cr1 Cr 0.000 0.000 0.500
Sb1 Sb 0.500 0.500 0.500
```

Values from the calculation:
Spin magnetization: 0.634 μB per atom
VASP energy: -4.959 eV/atom

---

[10]
DFT (GGA-PBE) results for crystalline Be3CrSb at its relaxed geometry.

```
data_Be3CrSb
_chemical_formula_sum 'Be3 Cr1 Sb1'
_symmetry_space_group_name_H-M 'P m -3 m'
_symmetry_Int_Tables_number 221
_symmetry_space_group_name_Hall '-P 4 2 3'
_cell_length_a 4.508
_cell_length_b 4.508
_cell_length_c 4.508
_cell_angle_alpha 90.00
_cell_angle_beta 90.00
_cell_angle_gamma 90.00
loop_
_atom_site_label
_atom_site_type_symbol
_atom_site_fract_x
_atom_site_fract_y
_atom_site_fract_z
Be1 Be 0.000 0.000 0.500
Cr1 Cr 0.500 0.500 0.500
Sb1 Sb 0.000 0.000 0.000
```

Values from the calculation:
Offset from the most stable computed form: 796 meV/atom
Spin magnetization: 0.011 μB per atom

---

[11]
DFT (GGA-PBE) results for crystalline BeCr2Sb at its relaxed geometry.

```
data_BeCr2Sb
_chemical_formula_sum 'Be4 Cr8 Sb4'
_symmetry_space_group_name_H-M 'I -4 2 d'
_symmetry_Int_Tables_number 122
_symmetry_space_group_name_Hall 'I -4 2bw'
_cell_length_a 3.631
_cell_length_b 3.631
_cell_length_c 17.705
_cell_angle_alpha 90.00
_cell_angle_beta 90.00
_cell_angle_gamma 90.00
loop_
_atom_site_label
_atom_site_type_symbol
_atom_site_fract_x
_atom_site_fract_y
_atom_site_fract_z
Be1 Be 0.000 0.000 0.000
Cr1 Cr 0.179 0.250 0.125
Sb1 Sb 0.000 0.000 0.500
```

Values from the calculation:
Offset from the most stable computed form: 332 meV/atom
Spin magnetization: 0.000 μB per atom

---

[12]
DFT (GGA-PBE) results for crystalline Be2CrSb at its relaxed geometry.

```
data_Be2CrSb
_chemical_formula_sum 'Be4 Cr2 Sb2'
_symmetry_space_group_name_H-M 'I -4 m 2'
_symmetry_Int_Tables_number 119
_symmetry_space_group_name_Hall 'I -4 -2'
_cell_length_a 3.592
_cell_length_b 3.592
_cell_length_c 7.879
_cell_angle_alpha 90.00
_cell_angle_beta 90.00
_cell_angle_gamma 90.00
loop_
_atom_site_label
_atom_site_type_symbol
_atom_site_fract_x
_atom_site_fract_y
_atom_site_fract_z
Be1 Be 0.000 0.000 0.000
Be2 Be 0.000 0.500 0.250
Cr1 Cr 0.000 0.500 0.750
Sb1 Sb 0.000 0.000 0.500
```

Values from the calculation:
Spin magnetization: 0.258 μB per atom
VASP energy: -5.028 eV/atom

---

[13]
DFT (GGA-PBE) results for crystalline BeCr2Sb at its relaxed geometry.

```
data_BeCr2Sb
_chemical_formula_sum 'Be1 Cr2 Sb1'
_symmetry_space_group_name_H-M 'P 4 m m'
_symmetry_Int_Tables_number 99
_symmetry_space_group_name_Hall 'P 4 -2'
_cell_length_a 3.068
_cell_length_b 3.068
_cell_length_c 5.634
_cell_angle_alpha 90.00
_cell_angle_beta 90.00
_cell_angle_gamma 90.00
loop_
_atom_site_label
_atom_site_type_symbol
_atom_site_fract_x
_atom_site_fract_y
_atom_site_fract_z
Be1 Be 0.000 0.000 0.000
Cr1 Cr 0.000 0.000 0.412
Cr2 Cr 0.500 0.500 0.178
Sb1 Sb 0.500 0.500 0.698
```

Values from the calculation:
Offset from the most stable computed form: 0 meV/atom
Spin magnetization: 0.000 μB per atom

---

[14]
DFT (GGA-PBE) results for crystalline Be2CrSb at its relaxed geometry.

```
data_Be2CrSb
_chemical_formula_sum 'Be2 Cr1 Sb1'
_symmetry_space_group_name_H-M 'P m m 2'
_symmetry_Int_Tables_number 25
_symmetry_space_group_name_Hall 'P 2 -2'
_cell_length_a 2.862
_cell_length_b 3.773
_cell_length_c 5.229
_cell_angle_alpha 90.00
_cell_angle_beta 90.00
_cell_angle_gamma 90.00
loop_
_atom_site_label
_atom_site_type_symbol
_atom_site_fract_x
_atom_site_fract_y
_atom_site_fract_z
Be1 Be 0.000 0.000 0.000
Be2 Be 0.000 0.500 0.178
Cr1 Cr 0.500 0.500 0.813
Sb1 Sb 0.000 0.000 0.520
```

Values from the calculation:
Spin magnetization: 0.482 μB per atom
VASP energy: -4.896 eV/atom